DFT (GGA-PBE) results for a relaxed InNiAg2 crystal. Values from VASP.

Calculated values
The value obtained for the formation enthalpy at 0 K is 0.185 eV per atom. The value obtained for the density of states at the Fermi level is 0.611 states/eV/atom.

```
&SYSTEM
  ibrav = 0, nat = 4, ntyp = 3
/
ATOMIC_SPECIES
In 114.82 In.upf
Ni 58.69 Ni.upf
Ag 107.87 Ag.upf
CELL_PARAMETERS angstrom
1.524 0.880 8.797
-1.524 0.880 8.797
0.000 -1.759 8.797
ATOMIC_POSITIONS crystal
In 0.000 0.000 0.000
Ni 0.259 0.259 0.259
Ag 0.515 0.515 0.515
Ag 0.760 0.760 0.760
```

DFT (GGA-PBE) results for a relaxed InNi2Ag2 crystal. Values from VASP.

Calculated values
The calculation puts the energy above the most stable polymorph in this dataset at 0.147 eV/atom. The value obtained for the formation enthalpy at 0 K is 0.275 eV per atom. The value obtained for the density of states at the Fermi level is 0.598 states/eV/atom.

```
&SYSTEM
  ibrav = 0, nat = 10, ntyp = 3
/
ATOMIC_SPECIES
In 114.82 In.upf
Ni 58.69 Ni.upf
Ag 107.87 Ag.upf
CELL_PARAMETERS angstrom
7.423 0.000 0.000
0.000 7.423 0.000
0.000 0.000 2.966
ATOMIC_POSITIONS crystal
In 0.000 0.000 0.000
In 0.500 0.500 0.000
Ni 0.165 0.335 0.500
Ni 0.335 0.835 0.500
Ni 0.665 0.165 0.500
Ni 0.835 0.665 0.500
Ag 0.132 0.632 0.000
Ag 0.368 0.132 0.000
Ag 0.632 0.868 0.000
Ag 0.868 0.368 0.000
```

DFT (GGA-PBE) results for a relaxed InNiAg2 crystal. Values from VASP.

Calculated values
The value obtained for the formation enthalpy at 0 K is 0.058 eV per atom. The value obtained for the density of states at the Fermi level is 0.633 states/eV/atom.

```
&SYSTEM
  ibrav = 0, nat = 4, ntyp = 3
/
ATOMIC_SPECIES
In 114.82 In.upf
Ni 58.69 Ni.upf
Ag 107.87 Ag.upf
CELL_PARAMETERS angstrom
5.247 -1.596 0.000
5.247 1.596 0.000
-1.895 0.000 4.095
ATOMIC_POSITIONS crystal
In 0.000 0.000 0.000
Ni 0.500 0.500 0.500
Ag 0.229 0.229 0.729
Ag 0.771 0.771 0.271
```

DFT (GGA-PBE) results for a relaxed InNi2Ag crystal. Values from VASP.

Calculated values
The value obtained for the formation enthalpy at 0 K is 0.025 eV per atom. The value obtained for the density of states at the Fermi level is 0.328 states/eV/atom.

```
&SYSTEM
  ibrav = 0, nat = 4, ntyp = 3
/
ATOMIC_SPECIES
In 114.82 In.upf
Ni 58.69 Ni.upf
Ag 107.87 Ag.upf
CELL_PARAMETERS angstrom
4.073 0.000 0.000
0.000 4.073 0.000
0.000 0.000 3.588
ATOMIC_POSITIONS crystal
In 0.000 0.000 0.000
Ni 0.000 0.500 0.500
Ni 0.500 0.000 0.500
Ag 0.500 0.500 0.000
```

DFT (GGA-PBE) results for a relaxed InNiAg2 crystal. Values from VASP.

Calculated values
The value obtained for the formation enthalpy at 0 K is 0.301 eV per atom. The value obtained for the density of states at the Fermi level is 0.934 states/eV/atom.

```
&SYSTEM
  ibrav = 0, nat = 4, ntyp = 3
/
ATOMIC_SPECIES
In 114.82 In.upf
Ni 58.69 Ni.upf
Ag 107.87 Ag.upf
CELL_PARAMETERS angstrom
1.504 0.868 9.125
-1.504 0.868 9.125
0.000 -1.736 9.125
ATOMIC_POSITIONS crystal
In 0.000 0.000 0.000
Ni 0.500 0.500 0.500
Ag 0.241 0.241 0.241
Ag 0.759 0.759 0.759
```

DFT (GGA-PBE) results for a relaxed InNiAg3 crystal. Values from VASP.

Calculated values
The calculation puts the energy above the most stable polymorph in this dataset at 0.544 eV/atom. The value obtained for the formation enthalpy at 0 K is 1.132 eV per atom. The value obtained for the density of states at the Fermi level is 1.362 states/eV/atom.

```
&SYSTEM
  ibrav = 0, nat = 5, ntyp = 3
/
ATOMIC_SPECIES
In 114.82 In.upf
Ni 58.69 Ni.upf
Ag 107.87 Ag.upf
CELL_PARAMETERS angstrom
5.139 0.000 0.000
0.000 5.139 0.000
0.000 0.000 5.139
ATOMIC_POSITIONS crystal
In 0.000 0.000 0.000
Ni 0.500 0.500 0.500
Ag 0.000 0.000 0.500
Ag 0.000 0.500 0.000
Ag 0.500 0.000 0.000
```

DFT (GGA-PBE) results for a relaxed InNi2Ag crystal. Values from VASP.

Calculated values
The value obtained for the formation enthalpy at 0 K is 0.366 eV per atom. The value obtained for the density of states at the Fermi level is 0.460 states/eV/atom.

```
&SYSTEM
  ibrav = 0, nat = 8, ntyp = 3
/
ATOMIC_SPECIES
In 114.82 In.upf
Ni 58.69 Ni.upf
Ag 107.87 Ag.upf
CELL_PARAMETERS angstrom
-3.498 3.498 2.688
3.498 -3.498 2.688
3.498 3.498 -2.688
ATOMIC_POSITIONS crystal
In 0.000 0.000 0.000
In 0.750 0.250 0.500
Ni 0.124 0.125 0.499
Ni 0.375 0.876 0.001
Ni 0.626 0.625 0.501
Ni 0.875 0.374 0.999
Ag 0.250 0.750 0.500
Ag 0.500 0.500 0.000
```

DFT (GGA-PBE) results for a relaxed InNi2Ag crystal. Values from VASP.

Calculated values
The value obtained for the formation enthalpy at 0 K is 0.125 eV per atom. The value obtained for the density of states at the Fermi level is 0.606 states/eV/atom.

```
&SYSTEM
  ibrav = 0, nat = 4, ntyp = 3
/
ATOMIC_SPECIES
In 114.82 In.upf
Ni 58.69 Ni.upf
Ag 107.87 Ag.upf
CELL_PARAMETERS angstrom
0.000 3.114 3.114
3.114 0.000 3.114
3.114 3.114 0.000
ATOMIC_POSITIONS crystal
In 0.000 0.000 0.000
Ni 0.500 0.500 0.500
Ni 0.750 0.750 0.750
Ag 0.250 0.250 0.250
```

DFT (GGA-PBE) results for a relaxed InNi2Ag crystal. Values from VASP.

Calculated values
The value obtained for the formation enthalpy at 0 K is 0.112 eV per atom. The value obtained for the density of states at the Fermi level is 1.170 states/eV/atom.

```
&SYSTEM
  ibrav = 0, nat = 4, ntyp = 3
/
ATOMIC_SPECIES
In 114.82 In.upf
Ni 58.69 Ni.upf
Ag 107.87 Ag.upf
CELL_PARAMETERS angstrom
3.037 0.000 0.000
0.000 3.052 0.000
0.000 0.000 6.584
ATOMIC_POSITIONS crystal
In 0.000 0.000 0.000
Ni 0.000 0.000 0.572
Ni 0.500 0.500 0.753
Ag 0.500 0.500 0.322
```

DFT (GGA-PBE) results for a relaxed In2Ni2Ag crystal. Values from VASP.

Calculated values
The calculation puts the energy above the most stable polymorph in this dataset at 0.000 eV/atom. The value obtained for the formation enthalpy at 0 K is -0.059 eV per atom. The value obtained for the density of states at the Fermi level is 0.467 states/eV/atom.

```
&SYSTEM
  ibrav = 0, nat = 10, ntyp = 3
/
ATOMIC_SPECIES
In 114.82 In.upf
Ni 58.69 Ni.upf
Ag 107.87 Ag.upf
CELL_PARAMETERS angstrom
7.213 0.000 0.000
0.000 7.213 0.000
0.000 0.000 3.191
ATOMIC_POSITIONS crystal
In 0.168 0.332 0.000
In 0.332 0.832 0.000
In 0.668 0.168 0.000
In 0.832 0.668 0.000
Ni 0.128 0.628 0.500
Ni 0.372 0.128 0.500
Ni 0.628 0.872 0.500
Ni 0.872 0.372 0.500
Ag 0.000 0.000 0.500
Ag 0.500 0.500 0.500
```

DFT (GGA-PBE) results for a relaxed InNi2Ag crystal. Values from VASP.

Calculated values
The value obtained for the formation enthalpy at 0 K is 0.303 eV per atom. The value obtained for the density of states at the Fermi level is 0.890 states/eV/atom.

```
&SYSTEM
  ibrav = 0, nat = 4, ntyp = 3
/
ATOMIC_SPECIES
In 114.82 In.upf
Ni 58.69 Ni.upf
Ag 107.87 Ag.upf
CELL_PARAMETERS angstrom
1.449 0.837 8.636
-1.449 0.837 8.636
0.000 -1.673 8.636
ATOMIC_POSITIONS crystal
In 0.000 0.000 0.000
Ni 0.253 0.253 0.253
Ni 0.516 0.516 0.516
Ag 0.766 0.766 0.766
```

DFT (GGA-PBE) results for a relaxed InNiAg2 crystal. Values from VASP.

Calculated values
The value obtained for the formation enthalpy at 0 K is 0.054 eV per atom. The value obtained for the density of states at the Fermi level is 0.481 states/eV/atom.

```
&SYSTEM
  ibrav = 0, nat = 4, ntyp = 3
/
ATOMIC_SPECIES
In 114.82 In.upf
Ni 58.69 Ni.upf
Ag 107.87 Ag.upf
CELL_PARAMETERS angstrom
3.967 0.000 0.000
0.000 3.993 0.000
0.000 0.000 4.290
ATOMIC_POSITIONS crystal
In 0.000 0.000 0.000
Ni 0.500 0.500 0.000
Ag 0.000 0.500 0.500
Ag 0.500 0.000 0.500
```

DFT (GGA-PBE) results for a relaxed InNiAg2 crystal. Values from VASP.

Calculated values
The value obtained for the formation enthalpy at 0 K is 0.170 eV per atom. The value obtained for the density of states at the Fermi level is 0.577 states/eV/atom.

```
&SYSTEM
  ibrav = 0, nat = 4, ntyp = 3
/
ATOMIC_SPECIES
In 114.82 In.upf
Ni 58.69 Ni.upf
Ag 107.87 Ag.upf
CELL_PARAMETERS angstrom
3.216 0.000 0.000
0.000 3.216 0.000
0.000 0.000 6.733
ATOMIC_POSITIONS crystal
In 0.000 0.000 0.000
Ni 0.000 0.000 0.500
Ag 0.500 0.500 0.284
Ag 0.500 0.500 0.716
```

DFT (GGA-PBE) results for a relaxed InNiAgPd crystal. Values from VASP.

Calculated values
The value obtained for the formation enthalpy at 0 K is -0.139 eV per atom. The value obtained for the density of states at the Fermi level is 0.518 states/eV/atom.

```
&SYSTEM
  ibrav = 0, nat = 4, ntyp = 4
/
ATOMIC_SPECIES
In 114.82 In.upf
Ni 58.69 Ni.upf
Ag 107.87 Ag.upf
Pd 106.42 Pd.upf
CELL_PARAMETERS angstrom
0.000 3.188 3.188
3.188 0.000 3.188
3.188 3.188 0.000
ATOMIC_POSITIONS crystal
In 0.000 0.000 0.000
Ni 0.750 0.750 0.750
Ag 0.500 0.500 0.500
Pd 0.250 0.250 0.250
```

DFT (GGA-PBE) results for a relaxed InNi2AgPd crystal. Values from VASP.

Calculated values
The value obtained for the formation enthalpy at 0 K is 1.020 eV per atom. The value obtained for the density of states at the Fermi level is 0.276 states/eV/atom.

```
&SYSTEM
  ibrav = 0, nat = 5, ntyp = 4
/
ATOMIC_SPECIES
In 114.82 In.upf
Ni 58.69 Ni.upf
Ag 107.87 Ag.upf
Pd 106.42 Pd.upf
CELL_PARAMETERS angstrom
4.606 0.000 0.000
0.000 4.606 0.000
0.000 0.000 4.878
ATOMIC_POSITIONS crystal
In 0.000 0.000 0.000
Ni 0.000 0.500 0.000
Ni 0.500 0.000 0.000
Ag 0.500 0.500 0.500
Pd 0.000 0.000 0.500
```